No. 1
The following is a DFT calculation (PBE) of La3ZnSe6 after structural relaxation.

a b c (Å): 12.0660 14.9701 6.5988
angles (deg): 90.00 90.00 90.00
With the nearest neighbours (Å) after each atom.
Space group Cmc2_1 (No. 36)
Symmetry-distinct sites (fractional):
1 La 0.0000 0.1195 0.0000 [4 per cell]  7 Se 3.01-3.14
2 La 0.1771 0.3916 0.0766 [8 per cell]  7 Se 2.98-3.29
3 Zn 0.0000 0.3066 0.6374 [4 per cell]  4 Se 2.44-2.51
4 Se 0.0000 0.2820 0.2715 [4 per cell]  1 Zn 2.44
5 Se 0.0000 0.4642 0.7692 [4 per cell]  1 Zn 2.51
6 Se 0.1593 0.0143 0.2919 [8 per cell]  4 La 3.05-3.14, 2 Se 3.33
7 Se 0.1666 0.2374 0.7915 [8 per cell]  1 Zn 2.48

final energy	-0.38867	Ry/atom
M_tot	0.001	μB per cell
raw formation energy	-1.592	eV per atom
crystal system	orthorhombic

***

No. 2
The following is a DFT calculation (PBE) of Cs2In2H3 after structural relaxation.

a b c (Å): 15.8692 3.7728 6.3648
angles (deg): 90.00 97.89 90.00
With the nearest neighbours (Å) after each atom.
Space group C2/m (No. 12)
Symmetry-distinct sites (fractional):
1 Cs 0.1439 0.0000 0.2353 [4 per cell]  5 H 2.97-3.23
2 In 0.0543 0.5000 0.7054 [4 per cell]  1 H 1.88
3 H 0.0000 0.5000 0.0000 [2 per cell]  2 In 2.17
4 H 0.1680 0.5000 0.6514 [4 per cell]  1 In 1.88

final energy	-0.17727	Ry/atom
M_tot	0.000	μB per cell
crystal system	monoclinic